Pm3Ga7Ni2 GGA-PBE relaxed; calculated formation energy = -703 kJ/mol of formula units; SG = P2/m; final energy = -4.524 eV/atom
1.0
4.2656 0.0000 0.0000
0.0000 4.2494 0.0000
-2.1191 0.0000 12.9799
Pm Ga Ni
3 7 2
direct
0.0000 0.0000 0.0000
0.3180 0.5000 0.6381
0.6820 0.5000 0.3619
0.0874 0.5000 0.1732
0.2218 0.0000 0.4437
0.4145 0.0000 0.8271
0.5000 0.5000 0.0000
0.5855 0.0000 0.1729
0.7782 0.0000 0.5563
0.9126 0.5000 0.8268
0.1286 0.0000 0.2598
0.8714 0.0000 0.7402